The following is a DFT calculation (PBE with a Hubbard U) of crystalline RbNaCrF6 at its relaxed geometry.

As for the electronic total energy: -89.958 eV for the cell shown. Its theoretical density is 2.78 g/cm3.

It has space group P-31c (No. 163), with a = 5.7384 Å, b = 5.7384 Å, c = 11.4800 Å, α = 90.00°, β = 90.00° and γ = 120.00°. The distinct sites, in fractional coordinates, are Rb at (0.0000, 0.0000, 0.0000), Na at (0.3333, 0.6667, 0.2500), Cr at (0.3333, 0.6667, 0.7500) and F at (0.0613, 0.4059, 0.6570).